This record from Alexandria via LeMat-Bulk describes a relaxed SrNdMg2Au4 crystal. The functional is PBE-GGA.

```
SrNdMg2Au4
1.0
2.581 1.490 8.025
-2.581 1.490 8.025
0.000 -2.981 8.025
Sr Nd Mg Au
1 1 2 4
direct
0.000 0.000 0.000
0.500 0.500 0.500
0.251 0.251 0.251
0.749 0.749 0.749
0.134 0.134 0.134
0.373 0.373 0.373
0.627 0.627 0.627
0.866 0.866 0.866
```

## Properties
energy	-28.0	eV per cell

This record from Alexandria via LeMat-Bulk describes a relaxed TbNdMgAu crystal. The functional is PBE-GGA.

```
TbNdMgAu
1.0
3.760 0.000 0.000
0.000 3.760 0.000
0.000 0.000 7.421
Tb Nd Mg Au
1 1 1 1
direct
0.000 0.000 0.000
0.000 0.000 0.529
0.500 0.500 0.256
0.500 0.500 0.788
```

## Properties
energy	-16.1	eV per cell
offset from the most stable computed form	0	meV per atom

Formation energy in meV per atom, matching the order above: -656, -450
Theoretical density in Mg/m³, matching the order above: 9.58, 8.30
Density of states at the Fermi level in states/eV per cell, matching the order above: 4.23, 3.64